No. 1
# NaBiSbI2

A geometry-optimized NaBiSbI2 structure (PBEsol, the Alexandria database).

extended XYZ file:
```
5
Lattice="5.441 0.000 0.000 0.000 5.441 0.000 0.000 0.000 5.714" Properties=species:S:1:pos:R:3 pbc="T T T"
Na 0.000 0.000 0.000
Bi 2.720 2.720 2.857
Sb 0.000 0.000 2.857
I 0.000 2.720 0.000
I 2.720 0.000 0.000
```

Values from the calculation:
theoretical density = 5.97 Mg/m³
DOS(E_F) = 4.980 states/eV per cell
DFT total energy = -12.12 eV per cell

No. 2
# Ba3SnO

A geometry-optimized Ba3SnO structure (PBEsol, the Alexandria database).

extended XYZ file:
```
5
Lattice="5.430 0.000 0.000 0.000 5.430 0.000 0.000 0.000 5.430" Properties=species:S:1:pos:R:3 pbc="T T T"
Ba 0.000 0.000 2.715
Ba 0.000 2.715 0.000
Ba 2.715 0.000 0.000
Sn 2.715 2.715 2.715
O 0.000 0.000 0.000
```

Values from the calculation:
theoretical density = 5.67 Mg/m³
DOS(E_F) = 0.386 states/eV per cell
DFT total energy = -23.10 eV per cell